Computed, not measured: an optimized crystal structure of Cu4PSe at the PBE level of DFT.

```
data_Cu4PSe
_cell_length_a 6.980
_cell_length_b 6.980
_cell_length_c 6.980
_cell_angle_alpha 90.00
_cell_angle_beta 90.00
_cell_angle_gamma 90.00
_space_group_name_H-M_alt 'F -4 3 m'
_space_group_IT_number 216
_space_group_name_Hall 'F -4 2 3'
loop_
_atom_site_label
_atom_site_fract_x
_atom_site_fract_y
_atom_site_fract_z
Cu1 0.124 0.124 0.124
P1 0.250 0.250 0.750
Se1 0.000 0.000 0.500
```

## Properties
Uncorrected formation energy (eV per atom): 0.343
Magnetization (μB per cell): 0.00
E_tot (eV/cell): -92.89
DOS(E_F) (states/eV per atom): 0.385



Computed, not measured: an optimized crystal structure of ZnFeS2Cl at the PBE level of DFT.

```
data_ZnFeS2Cl
_cell_length_a 4.648
_cell_length_b 4.648
_cell_length_c 4.810
_cell_angle_alpha 90.00
_cell_angle_beta 90.00
_cell_angle_gamma 90.00
_space_group_name_H-M_alt 'P 4/m m m'
_space_group_IT_number 123
_space_group_name_Hall '-P 4 2'
loop_
_atom_site_label
_atom_site_fract_x
_atom_site_fract_y
_atom_site_fract_z
Zn1 0.000 0.000 0.000
Fe1 0.500 0.500 0.500
S1 0.000 0.500 0.000
Cl1 0.000 0.000 0.500
```

## Properties
Uncorrected formation energy (eV per atom): 0.510
Magnetization (μB per cell): 4.21
E_tot (eV/cell): -17.29
DOS(E_F) (states/eV per atom): 1.097
Distance to the lowest polymorph of the same formula (meV/atom): 374



Computed, not measured: an optimized crystal structure of Sr3Y3MgTe8 at the PBE level of DFT.

```
data_Sr3Y3MgTe8
_cell_length_a 8.9032
_cell_length_b 8.9032
_cell_length_c 22.8372
_cell_angle_alpha 90.00
_cell_angle_beta 90.00
_cell_angle_gamma 120.00
_space_group_name_H-M_alt 'R -3 m'
_space_group_IT_number 166
_space_group_name_Hall '-R 3 2"'
loop_
_atom_site_label
_atom_site_fract_x
_atom_site_fract_y
_atom_site_fract_z
Sr1 0.0000 0.5000 0.0000
Y1 0.0000 0.5000 0.5000
Mg1 0.0000 0.0000 0.5000
Te1 0.0000 0.0000 0.2437
Te2 0.0037 0.5018 0.2414
```

## Properties
Uncorrected formation energy (eV per atom): -1.435
Magnetization (μB per cell): 0.00
E_tot (eV/cell): -218.08
DOS(E_F) (states/eV per atom): 0.270



Computed, not measured: an optimized crystal structure of BaCo4Ni at the PBE level of DFT.

```
data_BaCo4Ni
_cell_length_a 7.194
_cell_length_b 7.194
_cell_length_c 7.194
_cell_angle_alpha 90.00
_cell_angle_beta 90.00
_cell_angle_gamma 90.00
_space_group_name_H-M_alt 'F -4 3 m'
_space_group_IT_number 216
_space_group_name_Hall 'F -4 2 3'
loop_
_atom_site_label
_atom_site_fract_x
_atom_site_fract_y
_atom_site_fract_z
Ba1 0.000 0.000 0.000
Co1 0.122 0.122 0.622
Ni1 0.250 0.250 0.250
```

## Properties
Magnetization (μB per cell): 30.25
E_tot (eV/cell): -129.93
DOS(E_F) (states/eV per atom): 1.865
ΔH_f (0 K) (eV per atom): 0.61



Computed, not measured: an optimized crystal structure of LiLaReN3 at the PBE level of DFT.

```
data_LiLaReN3
_cell_length_a 3.409
_cell_length_b 11.922
_cell_length_c 8.143
_cell_angle_alpha 90.00
_cell_angle_beta 90.00
_cell_angle_gamma 90.00
_space_group_name_H-M_alt 'C m c m'
_space_group_IT_number 63
_space_group_name_Hall '-C 2c 2'
loop_
_atom_site_label
_atom_site_fract_x
_atom_site_fract_y
_atom_site_fract_z
Li1 0.000 0.000 0.000
La1 0.000 0.299 0.250
Re1 0.000 0.443 0.750
N1 0.000 0.040 0.750
N2 0.000 0.359 0.565
```

## Properties
Uncorrected formation energy (eV per atom): -0.586
Magnetization (μB per cell): 0.00
E_tot (eV/cell): -191.13
DOS(E_F) (states/eV per atom): 0.034



Computed, not measured: an optimized crystal structure of YGaNiBr2 at the PBE level of DFT.

```
data_YGaNiBr2
_cell_length_a 5.359
_cell_length_b 5.359
_cell_length_c 4.514
_cell_angle_alpha 90.00
_cell_angle_beta 90.00
_cell_angle_gamma 90.00
_space_group_name_H-M_alt 'P 4/m m m'
_space_group_IT_number 123
_space_group_name_Hall '-P 4 2'
loop_
_atom_site_label
_atom_site_fract_x
_atom_site_fract_y
_atom_site_fract_z
Y1 0.000 0.000 0.000
Ga1 0.500 0.500 0.500
Ni1 0.500 0.500 0.000
Br1 0.000 0.500 0.500
```

## Properties
Uncorrected formation energy (eV per atom): 0.049
Magnetization (μB per cell): 0.00
E_tot (eV/cell): -18.37
DOS(E_F) (states/eV per atom): 0.661



Computed, not measured: an optimized crystal structure of P5C at the PBE level of DFT.

```
data_P5C
_cell_length_a 13.987
_cell_length_b 3.141
_cell_length_c 5.741
_cell_angle_alpha 90.00
_cell_angle_beta 109.99
_cell_angle_gamma 90.00
_space_group_name_H-M_alt 'C 1 m 1'
_space_group_IT_number 8
loop_
_space_group_symop_operation_xyz
'x,y,z'
'x,-y,z'
'x+1/2,y+1/2,z'
'x+1/2,-y+1/2,z'
loop_
_atom_site_label
_atom_site_fract_x
_atom_site_fract_y
_atom_site_fract_z
P1 0.000 0.000 0.000
P2 0.013 0.000 0.407
P3 0.132 0.500 0.474
P4 0.259 0.000 0.958
P5 0.394 0.000 0.815
C1 0.206 0.500 0.793
```

## Properties
Magnetization (μB per cell): 0.00
E_tot (eV/cell): -68.54
DOS(E_F) (states/eV per atom): 0.270
ΔH_f (0 K) (eV per atom): 0.33
Distance to the lowest polymorph of the same formula (meV/atom): 0



Computed, not measured: an optimized crystal structure of Pr5Pd2 at the PBE level of DFT.

```
data_Pr5Pd2
_cell_length_a 17.543
_cell_length_b 6.747
_cell_length_c 7.335
_cell_angle_alpha 90.00
_cell_angle_beta 96.91
_cell_angle_gamma 90.00
_space_group_name_H-M_alt 'C 1 2/c 1'
_space_group_IT_number 15
loop_
_space_group_symop_operation_xyz
'x,y,z'
'-x,-y,-z'
'-x,y,-z+1/2'
'x,-y,z+1/2'
'x+1/2,y+1/2,z'
'-x+1/2,-y+1/2,-z'
'-x+1/2,y+1/2,-z+1/2'
'x+1/2,-y+1/2,z+1/2'
loop_
_atom_site_label
_atom_site_fract_x
_atom_site_fract_y
_atom_site_fract_z
Pr1 0.000 0.074 0.250
Pr2 0.094 0.394 0.931
Pr3 0.219 0.073 0.311
Pd1 0.110 0.190 0.575
```

## Properties
Magnetization (μB per cell): 0.00
E_tot (eV/cell): -149.39
DOS(E_F) (states/eV per atom): 1.211
ΔH_f (0 K) (eV per atom): -0.44